(1)
The following is a GGA-PBE calculation of Ba2Al4Ge3Au after structural relaxation, from Alexandria via LeMat-Bulk.

Geometry as POSCAR:
```
Ba2Al4Ge3Au
1.0
4.6879 0.0000 0.0000
0.0000 4.6879 0.0000
0.0000 0.0000 10.6156
Ba Al Ge Au
2 4 3 1
Cartesian
0.0000 2.3440 2.6172
2.3440 0.0000 7.9984
0.0000 0.0000 5.3078
0.0000 2.3440 9.3870
2.3440 0.0000 1.2286
2.3440 2.3440 5.3078
0.0000 0.0000 0.0000
0.0000 2.3440 6.6520
2.3440 0.0000 3.9636
2.3440 2.3440 0.0000
```

Computed properties:
Formation enthalpy at 0 K: -0.402 eV per atom
Space-group type: P-4m2, No. 115

(2)
The following is a GGA-PBE calculation of BaAlHg2Au after structural relaxation, from Alexandria via LeMat-Bulk.

Geometry as POSCAR:
```
BaAlHg2Au
1.0
5.2731 0.0000 0.0000
0.0000 5.2731 0.0000
0.0000 0.0000 5.1533
Ba Al Hg Au
1 1 2 1
Cartesian
0.0000 0.0000 0.0000
2.6365 2.6365 2.5766
0.0000 2.6365 2.5766
2.6365 0.0000 2.5766
2.6365 2.6365 0.0000
```

Computed properties:
Formation enthalpy at 0 K: -0.348 eV per atom
Space-group type: P4/mmm, No. 123

(3)
The following is a GGA-PBE calculation of Ba2Al3HgAu12 after structural relaxation, from Alexandria via LeMat-Bulk.

Geometry as POSCAR:
```
Ba2Al3HgAu12
1.0
4.4094 2.5458 6.8861
-4.4094 2.5458 6.8861
0.0000 -5.0915 6.8861
Ba Al Hg Au
2 3 1 12
Cartesian
0.0000 0.0000 2.3355
0.0000 0.0000 18.3227
-2.2047 -1.2729 6.8861
-2.2047 1.2729 13.7721
0.0000 2.5458 6.8861
0.0000 0.0000 10.3291
-2.2416 -1.2942 9.3852
0.0000 -2.3567 6.3562
-2.0410 1.1784 6.3562
0.0000 -2.5884 11.2730
-2.2416 1.2942 11.2730
-2.0410 -1.1784 14.3020
2.0410 1.1784 6.3562
2.2416 -1.2942 9.3853
0.0000 2.5884 9.3853
2.0410 -1.1784 14.3020
0.0000 2.3567 14.3020
2.2416 1.2942 11.2730
```

Computed properties:
Formation enthalpy at 0 K: -0.159 eV per atom
Space-group type: R-3m, No. 166

(4)
The following is a GGA-PBE calculation of Ba2Al4HgAu3 after structural relaxation, from Alexandria via LeMat-Bulk.

Geometry as POSCAR:
```
Ba2Al4HgAu3
1.0
4.6623 0.0000 0.0000
0.0000 4.6623 0.0000
0.0000 0.0000 10.8884
Ba Al Hg Au
2 4 1 3
Cartesian
0.0000 2.3311 2.6949
2.3311 0.0000 8.1934
0.0000 0.0000 0.0000
0.0000 2.3311 6.9008
2.3311 0.0000 3.9875
2.3311 2.3311 0.0000
0.0000 0.0000 5.4442
0.0000 2.3311 9.5727
2.3311 0.0000 1.3157
2.3311 2.3311 5.4442
```

Computed properties:
Formation enthalpy at 0 K: -0.519 eV per atom
Space-group type: P-4m2, No. 115

(5)
The following is a GGA-PBE calculation of BaAlHgAu2 after structural relaxation, from Alexandria via LeMat-Bulk.

Geometry as POSCAR:
```
BaAlHgAu2
1.0
5.0860 0.0000 0.0000
0.0000 5.0860 0.0000
0.0000 0.0000 5.2631
Ba Al Hg Au
1 1 1 2
Cartesian
0.0000 0.0000 0.0000
2.5430 2.5430 2.6316
2.5430 2.5430 0.0000
0.0000 2.5430 2.6316
2.5430 0.0000 2.6316
```

Computed properties:
Formation enthalpy at 0 K: -0.436 eV per atom
Space-group type: P4/mmm, No. 123

(6)
The following is a GGA-PBE calculation of BaAlHgAu6 after structural relaxation, from Alexandria via LeMat-Bulk.

Geometry as POSCAR:
```
BaAlHgAu6
1.0
-4.1102 4.5365 6.7074
4.1102 -4.5365 6.7074
4.1102 4.5365 -6.7074
Ba Al Hg Au
2 2 2 12
Cartesian
0.0000 2.2682 1.8276
4.1102 2.2682 4.8799
4.1102 0.0000 0.0000
0.0000 0.0000 6.7074
2.0551 2.2682 -3.3537
2.0551 -2.2682 3.3537
4.1102 -2.2682 5.2951
2.6094 0.1163 2.0758
5.6111 0.1163 2.0758
4.1102 2.2682 1.1345
2.6094 4.6528 -2.0758
1.5009 0.1163 4.6316
2.6094 4.4202 2.0758
1.5009 -0.1163 8.7832
0.0000 2.2682 5.5729
-1.5009 4.4202 4.6316
1.5009 4.4202 4.6316
0.0000 6.8047 1.4123
```

Computed properties:
Formation enthalpy at 0 K: -0.126 eV per atom
Space-group type: Imma, No. 74

(7)
The following is a GGA-PBE calculation of Ba2AlHgAu after structural relaxation, from Alexandria via LeMat-Bulk.

Geometry as POSCAR:
```
Ba2AlHgAu
1.0
6.3852 0.0000 0.0000
0.0000 6.3852 0.0000
0.0000 0.0000 4.8529
Ba Al Hg Au
2 1 1 1
Cartesian
0.0000 3.1926 0.0000
3.1926 0.0000 0.0000
0.0000 0.0000 2.4265
3.1926 3.1926 2.4265
0.0000 0.0000 0.0000
```

Computed properties:
Formation enthalpy at 0 K: -0.365 eV per atom
Space-group type: P4/mmm, No. 123

(8)
The following is a GGA-PBE calculation of Ba2Al4Hg3Au after structural relaxation, from Alexandria via LeMat-Bulk.

Geometry as POSCAR:
```
Ba2Al4Hg3Au
1.0
4.7802 0.0000 0.0000
0.0000 4.7802 0.0000
0.0000 0.0000 10.9928
Ba Al Hg Au
2 4 3 1
Cartesian
0.0000 2.3901 2.7200
2.3901 0.0000 8.2728
0.0000 0.0000 5.4964
0.0000 2.3901 9.7194
2.3901 0.0000 1.2734
2.3901 2.3901 5.4964
0.0000 0.0000 0.0000
0.0000 2.3901 6.9638
2.3901 0.0000 4.0290
2.3901 2.3901 0.0000
```

Computed properties:
Formation enthalpy at 0 K: -0.344 eV per atom
Space-group type: P-4m2, No. 115

(9)
The following is a GGA-PBE calculation of BaAlAuI2 after structural relaxation, from Alexandria via LeMat-Bulk.

Geometry as POSCAR:
```
BaAlAuI2
1.0
6.0367 0.0000 0.0000
0.0000 6.0367 0.0000
0.0000 0.0000 4.9539
Ba Al Au I
1 1 1 2
Cartesian
0.0000 0.0000 0.0000
3.0184 3.0184 2.4770
3.0184 3.0184 0.0000
0.0000 3.0184 2.4770
3.0184 0.0000 2.4770
```

Computed properties:
Raw formation energy: -0.70 eV per atom
Space-group type: P4/mmm, No. 123

(10)
The following is a GGA-PBE calculation of Ba2AlAuI after structural relaxation, from Alexandria via LeMat-Bulk.

Geometry as POSCAR:
```
Ba2AlAuI
1.0
6.4950 0.0000 0.0000
0.0000 6.4950 0.0000
0.0000 0.0000 4.8180
Ba Al Au I
2 1 1 1
Cartesian
0.0000 3.2475 0.0000
3.2475 0.0000 0.0000
0.0000 0.0000 2.4090
0.0000 0.0000 0.0000
3.2475 3.2475 2.4090
```

Computed properties:
Raw formation energy: -0.72 eV per atom
Space-group type: P4/mmm, No. 123

(11)
The following is a GGA-PBE calculation of Ba2AlIn2Au4 after structural relaxation, from Alexandria via LeMat-Bulk.

Geometry as POSCAR:
```
Ba2AlIn2Au4
1.0
-3.6271 3.6271 4.5719
3.6271 -3.6271 4.5719
3.6271 3.6271 -4.5719
Ba Al In Au
2 1 2 4
Cartesian
3.6271 0.0000 2.2859
0.0000 3.6271 2.2859
0.0000 0.0000 0.0000
0.0000 0.0000 3.0068
0.0000 0.0000 6.1370
1.8332 1.8332 0.0000
1.7939 -1.7939 4.5719
-1.7939 1.7939 4.5719
1.7939 1.7939 4.5719
```

Computed properties:
Formation enthalpy at 0 K: -0.516 eV per atom
Space-group type: I4/mmm, No. 139

(12)
The following is a GGA-PBE calculation of Ba2AlInAu6 after structural relaxation, from Alexandria via LeMat-Bulk.

Geometry as POSCAR:
```
Ba2AlInAu6
1.0
6.3803 0.0000 0.0000
3.1829 6.3196 0.0000
3.1775 -0.9768 6.6176
Ba Al In Au
2 1 1 6
Cartesian
1.5893 1.0966 1.2562
11.1514 4.2462 5.3614
4.7789 -0.4884 3.3088
4.7816 3.1598 0.0000
3.1609 0.9822 4.6570
4.7773 1.9431 2.4755
6.3416 4.3744 1.9645
6.3992 0.9684 4.6531
7.9634 3.3997 4.1420
9.5798 4.3606 1.9606
```

Computed properties:
Formation enthalpy at 0 K: -0.534 eV per atom
Space-group type: P-1, No. 2

(13)
The following is a GGA-PBE calculation of Ba2Al3InAu4 after structural relaxation, from Alexandria via LeMat-Bulk.

Geometry as POSCAR:
```
Ba2Al3InAu4
1.0
4.7339 0.0000 0.0000
0.0000 4.7339 0.0000
0.0000 0.0000 10.7813
Ba Al In Au
2 3 1 4
Cartesian
0.0000 2.3669 2.6487
2.3669 0.0000 8.1327
0.0000 2.3669 9.5455
2.3669 0.0000 1.2359
2.3669 2.3669 5.3907
0.0000 0.0000 5.3907
0.0000 0.0000 0.0000
0.0000 2.3669 6.9157
2.3669 0.0000 3.8656
2.3669 2.3669 0.0000
```

Computed properties:
Formation enthalpy at 0 K: -0.576 eV per atom
Space-group type: P-4m2, No. 115

(14)
The following is a GGA-PBE calculation of BaAl2In2Au6 after structural relaxation, from Alexandria via LeMat-Bulk.

Geometry as POSCAR:
```
BaAl2In2Au6
1.0
6.6769 0.0000 0.0000
-3.1507 5.8901 0.0000
-1.3022 -3.1805 6.4118
Ba Al In Au
1 2 2 6
Cartesian
0.0000 0.0000 0.0000
-0.7713 0.5056 6.0375
2.9952 2.2040 0.3744
1.2320 -0.7352 3.4138
0.9920 3.4448 2.9980
-1.0394 0.6452 3.2837
-1.3351 3.0366 1.3944
-1.1382 2.9460 5.0175
3.3621 -0.2364 1.3944
3.5590 -0.3269 5.0175
3.2634 2.0644 3.1282
```

Computed properties:
Formation enthalpy at 0 K: -0.344 eV per atom
Space-group type: P-1, No. 2

(15)
The following is a GGA-PBE calculation of Ba2Al4In3Au after structural relaxation, from Alexandria via LeMat-Bulk.

Geometry as POSCAR:
```
Ba2Al4In3Au
1.0
4.6994 0.0000 0.0000
0.0000 4.6994 0.0000
0.0000 0.0000 11.7083
Ba Al In Au
2 4 3 1
Cartesian
0.0000 2.3497 2.9007
2.3497 0.0000 8.8076
0.0000 0.0000 5.8542
0.0000 2.3497 10.2571
2.3497 0.0000 1.4512
2.3497 2.3497 5.8542
0.0000 0.0000 0.0000
0.0000 2.3497 7.4549
2.3497 0.0000 4.2534
2.3497 2.3497 0.0000
```

Computed properties:
Formation enthalpy at 0 K: -0.330 eV per atom
Space-group type: P-4m2, No. 115

(16)
The following is a GGA-PBE calculation of BaLi2AlAu after structural relaxation, from Alexandria via LeMat-Bulk.

Geometry as POSCAR:
```
BaLi2AlAu
1.0
5.1388 0.0000 0.0000
0.0000 5.1388 0.0000
0.0000 0.0000 4.9016
Ba Li Al Au
1 2 1 1
Cartesian
0.0000 0.0000 0.0000
0.0000 2.5694 2.4508
2.5694 0.0000 2.4508
2.5694 2.5694 0.0000
2.5694 2.5694 2.4508
```

Computed properties:
Formation enthalpy at 0 K: -0.288 eV per atom
Space-group type: P4/mmm, No. 123

(17)
The following is a GGA-PBE calculation of BaLi2AlAu4 after structural relaxation, from Alexandria via LeMat-Bulk.

Geometry as POSCAR:
```
BaLi2AlAu4
1.0
2.2668 1.3087 9.4569
-2.2668 1.3087 9.4569
0.0000 -2.6175 9.4569
Ba Li Al Au
1 2 1 4
Cartesian
0.0000 0.0000 0.0000
0.0000 0.0000 6.5912
0.0000 0.0000 21.7795
0.0000 0.0000 14.1854
0.0000 0.0000 3.8826
0.0000 0.0000 11.5956
0.0000 0.0000 16.7751
0.0000 0.0000 24.4881
```

Computed properties:
Formation enthalpy at 0 K: -0.567 eV per atom
Space-group type: R-3m, No. 166

(18)
The following is a GGA-PBE calculation of BaLiAlAu3 after structural relaxation, from Alexandria via LeMat-Bulk.

Geometry as POSCAR:
```
BaLiAlAu3
1.0
3.4990 -6.1710 0.0000
3.4990 6.1710 0.0000
0.0000 0.0000 6.4598
Ba Li Al Au
2 2 2 6
Cartesian
3.4990 3.4399 4.8449
3.4990 -3.4399 1.6150
3.4990 0.2435 4.8449
3.4990 -0.2435 1.6150
3.4990 4.8354 1.6150
3.4990 -4.8354 4.8449
1.5337 0.0000 0.0000
1.5337 0.0000 3.2299
3.4990 2.3077 1.6150
3.4990 -2.3077 4.8449
5.4642 0.0000 0.0000
5.4642 0.0000 3.2299
```

Computed properties:
Formation enthalpy at 0 K: -0.485 eV per atom
Space-group type: Cmcm, No. 63

(19)
The following is a GGA-PBE calculation of BaLiAlAu2 after structural relaxation, from Alexandria via LeMat-Bulk.

Geometry as POSCAR:
```
BaLiAlAu2
1.0
4.4421 0.0000 0.0000
0.0000 4.4421 0.0000
0.0000 0.0000 11.8958
Ba Li Al Au
2 2 2 4
Cartesian
0.0000 0.0000 0.0000
2.2210 2.2210 5.9479
0.0000 2.2210 8.9219
2.2210 0.0000 2.9740
0.0000 2.2210 2.9740
2.2210 0.0000 8.9219
0.0000 0.0000 4.4112
0.0000 0.0000 7.4846
2.2210 2.2210 1.5367
2.2210 2.2210 10.3592
```

Computed properties:
Formation enthalpy at 0 K: -0.604 eV per atom
Space-group type: I-4m2, No. 119

(20)
The following is a GGA-PBE calculation of BaLiAl2Au4 after structural relaxation, from Alexandria via LeMat-Bulk.

Geometry as POSCAR:
```
BaLiAl2Au4
1.0
2.2471 1.2974 9.4959
-2.2471 1.2974 9.4959
0.0000 -2.5947 9.4959
Ba Li Al Au
1 1 2 4
Cartesian
0.0000 0.0000 0.0000
0.0000 0.0000 14.2439
0.0000 0.0000 6.5807
0.0000 0.0000 21.9071
0.0000 0.0000 3.8439
0.0000 0.0000 11.6829
0.0000 0.0000 16.8050
0.0000 0.0000 24.6439
```

Computed properties:
Formation enthalpy at 0 K: -0.571 eV per atom
Space-group type: R-3m, No. 166

Number 1: M_tot 0.0 μB/f.u., DOS at the Fermi energy 0.294 states/eV per atom, electronic total energy -4.00 eV per atom. Number 2: M_tot 0.0 μB/f.u., DOS at the Fermi energy 0.470 states/eV per atom, electronic total energy -2.26 eV per atom. Number 3: M_tot 0.0 μB/f.u., DOS at the Fermi energy 0.517 states/eV per atom, electronic total energy -3.20 eV per atom. Number 4: M_tot 0.0 μB/f.u., DOS at the Fermi energy 0.484 states/eV per atom, electronic total energy -3.41 eV per atom. Number 5: M_tot 0.0 μB/f.u., DOS at the Fermi energy 0.418 states/eV per atom, electronic total energy -2.94 eV per atom. Number 6: M_tot 0.0 μB/f.u., DOS at the Fermi energy 0.494 states/eV per atom, electronic total energy -2.97 eV per atom. Number 7: M_tot 0.0 μB/f.u., DOS at the Fermi energy 0.698 states/eV per atom, electronic total energy -2.60 eV per atom. Number 8: M_tot 0.0 μB/f.u., DOS at the Fermi energy 0.675 states/eV per atom, electronic total energy -2.64 eV per atom. Number 9: M_tot 0.0 μB/f.u., DOS at the Fermi energy 0.089 states/eV per atom, electronic total energy -3.11 eV per atom. Number 10: M_tot 0.0 μB/f.u., DOS at the Fermi energy 0.557 states/eV per atom, electronic total energy -3.21 eV per atom. Number 11: M_tot 0.0 μB/f.u., DOS at the Fermi energy 0.481 states/eV per atom, electronic total energy -3.42 eV per atom. Number 12: M_tot 0.0 μB/f.u., DOS at the Fermi energy 0.371 states/eV per atom, electronic total energy -3.53 eV per atom. Number 13: M_tot 0.0 μB/f.u., DOS at the Fermi energy 0.608 states/eV per atom, electronic total energy -3.67 eV per atom. Number 14: M_tot 0.0 μB/f.u., DOS at the Fermi energy 0.379 states/eV per atom, electronic total energy -3.48 eV per atom. Number 15: M_tot 0.0 μB/f.u., DOS at the Fermi energy 0.322 states/eV per atom, electronic total energy -3.36 eV per atom. Number 16: M_tot 0.1 μB/f.u., DOS at the Fermi energy 0.489 states/eV per atom, electronic total energy -2.84 eV per atom. Number 17: M_tot 0.0 μB/f.u., DOS at the Fermi energy 0.223 states/eV per atom, electronic total energy -3.39 eV per atom. Number 18: M_tot 0.0 μB/f.u., DOS at the Fermi energy 0.465 states/eV per atom, electronic total energy -3.39 eV per atom. Number 19: M_tot 0.0 μB/f.u., DOS at the Fermi energy 0.657 states/eV per atom, electronic total energy -3.43 eV per atom. Number 20: M_tot 0.0 μB/f.u., DOS at the Fermi energy 0.202 states/eV per atom, electronic total energy -3.62 eV per atom.